# Hf9In4Fe

A relaxed Hf9In4Fe crystal (GGA-PBE, the Alexandria database). Values from VASP.

Geometry as Quantum ESPRESSO input:
```
&SYSTEM
  ibrav = 0, nat = 28, ntyp = 3
/
ATOMIC_SPECIES
In 114.82 In.upf
Hf 178.49 Hf.upf
Fe 55.84 Fe.upf
CELL_PARAMETERS angstrom
8.7141 0.0000 0.0000
0.0000 7.8007 -4.5037
0.0000 0.0000 9.0075
ATOMIC_POSITIONS crystal
In 0.2500 0.7535 0.8768
Hf 0.0657 0.7905 0.5809
Hf 0.9343 0.2095 0.7905
In 0.7500 0.8768 0.7535
Hf 0.5657 0.5809 0.7905
Hf 0.2500 0.4645 0.5355
Hf 0.9343 0.2095 0.4191
Hf 0.0657 0.7905 0.2095
In 0.2500 0.1232 0.2465
In 0.2500 0.1232 0.8768
Hf 0.4343 0.7905 0.2095
In 0.7500 0.8768 0.1232
Hf 0.0657 0.4191 0.2095
In 0.0000 0.0000 0.0000
Hf 0.7500 0.9289 0.4645
Fe 0.2500 0.6667 0.3333
Hf 0.7500 0.5355 0.4645
Hf 0.7500 0.5355 0.0711
Hf 0.9343 0.5809 0.7905
Hf 0.2500 0.0711 0.5355
Hf 0.2500 0.4645 0.9289
Hf 0.4343 0.4191 0.2095
Hf 0.4343 0.7905 0.5809
Fe 0.7500 0.3333 0.6667
In 0.5000 0.0000 0.0000
In 0.7500 0.2465 0.1232
Hf 0.5657 0.2095 0.7905
Hf 0.5657 0.2095 0.4191
```

## Properties
* formation energy from the elements: -80 meV/atom
* crystal system: hexagonal



# Hg2BiHPt

A relaxed Hg2BiHPt crystal (GGA-PBE, the Alexandria database). Values from VASP.

Geometry as Quantum ESPRESSO input:
```
&SYSTEM
  ibrav = 0, nat = 5, ntyp = 4
/
ATOMIC_SPECIES
Pt 195.08 Pt.upf
Hg 200.59 Hg.upf
H 1.01 H.upf
Bi 208.98 Bi.upf
CELL_PARAMETERS angstrom
-3.9753 3.6112 -1.8946
-2.5574 -1.8589 1.8226
0.8385 3.3131 4.5556
ATOMIC_POSITIONS crystal
Pt 0.5000 0.5000 0.5000
Hg 0.0000 0.0000 0.5000
H 0.0000 0.5000 0.0000
Bi 0.0000 0.0000 0.0000
Hg 0.5000 0.0000 0.0000
```

## Properties
* electronic total energy: -2.04 eV/atom
* crystal system: tetragonal



# HfTa3Be

A relaxed HfTa3Be crystal (GGA-PBE, the Alexandria database). Values from VASP.

Geometry as Quantum ESPRESSO input:
```
&SYSTEM
  ibrav = 0, nat = 5, ntyp = 3
/
ATOMIC_SPECIES
Ta 180.95 Ta.upf
Be 9.01 Be.upf
Hf 178.49 Hf.upf
CELL_PARAMETERS angstrom
-2.8842 1.1146 -3.2681
2.0181 -2.9110 -2.7740
-2.8018 -3.2443 1.3662
ATOMIC_POSITIONS crystal
Ta 0.0000 0.0000 0.5000
Ta 0.5000 0.0000 0.0000
Be 0.0000 0.0000 0.0000
Hf 0.5000 0.5000 0.5000
Ta 0.0000 0.5000 0.0000
```

## Properties
* formation energy from the elements: 467 meV/atom
* offset from the most stable computed form: 0 meV per atom
* crystal system: cubic



# BaTeW2

A relaxed BaTeW2 crystal (GGA-PBE, the Alexandria database). Values from VASP.

Geometry as Quantum ESPRESSO input:
```
&SYSTEM
  ibrav = 0, nat = 4, ntyp = 3
/
ATOMIC_SPECIES
W 183.84 W.upf
Ba 137.33 Ba.upf
Te 127.60 Te.upf
CELL_PARAMETERS angstrom
3.4175 0.0000 0.0000
0.0000 3.4175 0.0000
0.0000 0.0000 8.4061
ATOMIC_POSITIONS crystal
W 0.0000 0.0000 0.0298
Ba 0.0000 0.0000 0.4777
W 0.5000 0.5000 0.1735
Te 0.5000 0.5000 0.8189
```

## Properties
* formation energy (no corrections): 0.458 eV per atom
* crystal system: tetragonal



# AcPrMg17

A relaxed AcPrMg17 crystal (GGA-PBE, the Alexandria database). Values from VASP.

Geometry as Quantum ESPRESSO input:
```
&SYSTEM
  ibrav = 0, nat = 19, ntyp = 3
/
ATOMIC_SPECIES
Pr 140.91 Pr.upf
Mg 24.30 Mg.upf
Ac 227.00 Ac.upf
CELL_PARAMETERS angstrom
7.8146 0.0494 0.9772
0.8687 7.7663 0.9772
0.0549 0.0494 7.8753
ATOMIC_POSITIONS crystal
Pr 0.3309 0.3309 0.3309
Mg 0.3488 0.3488 0.8475
Mg 0.2970 0.0020 0.7008
Ac 0.6662 0.6662 0.6662
Mg 0.0020 0.2970 0.7008
Mg 0.9976 0.9976 0.5023
Mg 0.1002 0.1002 0.1002
Mg 0.9976 0.5023 0.9976
Mg 0.2970 0.7008 0.0020
Mg 0.6459 0.6459 0.1652
Mg 0.7008 0.2970 0.0020
Mg 0.1652 0.6459 0.6459
Mg 0.6459 0.1652 0.6459
Mg 0.9036 0.9036 0.9036
Mg 0.8475 0.3488 0.3488
Mg 0.0020 0.7008 0.2970
Mg 0.3488 0.8475 0.3488
Mg 0.5023 0.9976 0.9976
Mg 0.7008 0.0020 0.2970
```

## Properties
* formation energy from the elements: -74 meV/atom
* crystal system: trigonal



# Mg14TiBi

A relaxed Mg14TiBi crystal (GGA-PBE, the Alexandria database). Values from VASP.

Geometry as Quantum ESPRESSO input:
```
&SYSTEM
  ibrav = 0, nat = 16, ntyp = 3
/
ATOMIC_SPECIES
Mg 24.30 Mg.upf
Bi 208.98 Bi.upf
Ti 47.87 Ti.upf
CELL_PARAMETERS angstrom
3.1396 -5.5739 0.0000
3.1396 5.5739 0.0000
0.0000 0.0000 10.4208
ATOMIC_POSITIONS crystal
Mg 0.6750 0.8394 0.7501
Mg 0.1606 0.3250 0.2499
Mg 0.3325 0.6675 0.0000
Bi 0.3308 0.6692 0.5000
Mg 0.1640 0.8360 0.2445
Mg 0.8317 0.1683 0.0000
Mg 0.8321 0.6658 0.5000
Mg 0.1640 0.8360 0.7555
Mg 0.3336 0.1700 0.0000
Mg 0.6750 0.8394 0.2499
Mg 0.8300 0.6664 0.0000
Mg 0.3342 0.1679 0.5000
Mg 0.6710 0.3290 0.2546
Mg 0.1606 0.3250 0.7501
Mg 0.6710 0.3290 0.7454
Ti 0.8338 0.1662 0.5000
```

## Properties
* formation energy from the elements: 20 meV/atom
* crystal system: orthorhombic



# MnCoRu3

A relaxed MnCoRu3 crystal (GGA-PBE, the Alexandria database). Values from VASP.

Geometry as Quantum ESPRESSO input:
```
&SYSTEM
  ibrav = 0, nat = 5, ntyp = 3
/
ATOMIC_SPECIES
Ru 101.07 Ru.upf
Mn 54.94 Mn.upf
Co 58.93 Co.upf
CELL_PARAMETERS angstrom
4.3640 0.0000 0.0000
0.0000 4.3640 0.0000
0.0000 0.0000 4.3640
ATOMIC_POSITIONS crystal
Ru 0.0000 0.0000 0.5000
Ru 0.5000 0.0000 0.0000
Mn 0.0000 0.0000 0.0000
Ru 0.0000 0.5000 0.0000
Co 0.5000 0.5000 0.5000
```

## Properties
* formation energy from the elements: 1470 meV/atom
* crystal system: cubic



# NbBi2PS

A relaxed NbBi2PS crystal (GGA-PBE, the Alexandria database). Values from VASP.

Geometry as Quantum ESPRESSO input:
```
&SYSTEM
  ibrav = 0, nat = 5, ntyp = 4
/
ATOMIC_SPECIES
Bi 208.98 Bi.upf
Nb 92.91 Nb.upf
S 32.06 S.upf
P 30.97 P.upf
CELL_PARAMETERS angstrom
5.5946 0.0000 0.0000
0.0000 4.5559 0.0000
0.0000 0.0000 5.5946
ATOMIC_POSITIONS crystal
Bi 0.5000 0.0000 0.0000
Nb 0.0000 0.0000 0.0000
S 0.0000 0.5000 0.0000
Bi 0.0000 0.0000 0.5000
P 0.5000 0.5000 0.5000
```

## Properties
* formation energy (no corrections): 0.490 eV per atom
* crystal system: tetragonal



# KSrGeI5

A relaxed KSrGeI5 crystal (GGA-PBE, the Alexandria database). Values from VASP.

Geometry as Quantum ESPRESSO input:
```
&SYSTEM
  ibrav = 0, nat = 16, ntyp = 4
/
ATOMIC_SPECIES
I 126.90 I.upf
Ge 72.64 Ge.upf
Sr 87.62 Sr.upf
K 39.10 K.upf
CELL_PARAMETERS angstrom
-4.9312 2.9183 -6.2760
-4.4308 -7.1576 1.1655
-0.6974 7.4979 10.1993
ATOMIC_POSITIONS crystal
I 0.2390 0.3987 0.5801
I 0.6294 0.1068 0.4030
I 0.3987 0.2390 0.0801
Ge 0.2704 0.7296 0.7500
I 0.7610 0.6013 0.4199
Sr 0.0000 0.0000 0.5000
I 0.8932 0.3706 0.0970
Ge 0.7296 0.2704 0.2500
I 0.3706 0.8932 0.5970
I 0.1068 0.6294 0.9030
Sr 0.0000 0.0000 0.0000
I 0.0466 0.9534 0.2500
K 0.6688 0.3312 0.7500
I 0.6013 0.7610 0.9199
I 0.9534 0.0466 0.7500
K 0.3312 0.6688 0.2500
```

## Properties
* formation energy (no corrections): -1.080 eV per atom
* crystal system: monoclinic



# Mg4IrPb

A relaxed Mg4IrPb crystal (GGA-PBE, the Alexandria database). Values from VASP.

Geometry as Quantum ESPRESSO input:
```
&SYSTEM
  ibrav = 0, nat = 12, ntyp = 3
/
ATOMIC_SPECIES
Mg 24.30 Mg.upf
Ir 192.22 Ir.upf
Pb 207.20 Pb.upf
CELL_PARAMETERS angstrom
-3.3437 3.9291 2.2526
-1.2820 -0.7344 -8.1746
-2.0561 -5.9314 4.0355
ATOMIC_POSITIONS crystal
Mg 0.9367 0.8054 0.1553
Mg 0.7751 0.7227 0.6620
Mg 0.2249 0.2773 0.3380
Ir 0.7523 0.0023 0.0046
Mg 0.0633 0.1946 0.8447
Pb 0.6236 0.3736 0.7473
Mg 0.7185 0.3498 0.1553
Mg 0.2815 0.6502 0.8447
Ir 0.2477 0.9977 0.9954
Pb 0.3764 0.6264 0.2527
Mg 0.6131 0.0606 0.3380
Mg 0.3869 0.9394 0.6620
```

## Properties
* formation energy from the elements: -190 meV/atom
* offset from the most stable computed form: 0 meV per atom
* crystal system: monoclinic



# SmEr2PbC

A relaxed SmEr2PbC crystal (GGA-PBE, the Alexandria database). Values from VASP.

Geometry as Quantum ESPRESSO input:
```
&SYSTEM
  ibrav = 0, nat = 5, ntyp = 4
/
ATOMIC_SPECIES
C 12.01 C.upf
Er 167.26 Er.upf
Sm 150.36 Sm.upf
Pb 207.20 Pb.upf
CELL_PARAMETERS angstrom
-1.0041 -0.5760 4.9228
-4.2259 -2.1560 -1.1142
2.2256 -4.3349 -0.0533
ATOMIC_POSITIONS crystal
C 0.0000 0.0000 0.0000
Er 0.0000 0.5000 0.0000
Sm 0.5000 0.0000 0.0000
Er 0.0000 0.0000 0.5000
Pb 0.5000 0.5000 0.5000
```

## Properties
* formation energy from the elements: -519 meV/atom
* crystal system: tetragonal



# Tb3GaBi2

A relaxed Tb3GaBi2 crystal (GGA-PBE, the Alexandria database). Values from VASP.

Geometry as Quantum ESPRESSO input:
```
&SYSTEM
  ibrav = 0, nat = 6, ntyp = 3
/
ATOMIC_SPECIES
Tb 158.93 Tb.upf
Bi 208.98 Bi.upf
Ga 69.72 Ga.upf
CELL_PARAMETERS angstrom
3.6050 0.0000 0.0000
0.0000 6.2134 0.0000
0.0000 -3.1067 8.2072
ATOMIC_POSITIONS crystal
Tb 0.5000 0.1402 0.2804
Bi 0.5000 0.6653 0.3307
Ga 0.0000 0.0000 0.0000
Bi 0.5000 0.3347 0.6693
Tb 0.0000 0.5000 0.0000
Tb 0.5000 0.8598 0.7196
```

## Properties
* formation energy from the elements: -475 meV/atom
* crystal system: orthorhombic



# Rb2SrPb2

A relaxed Rb2SrPb2 crystal (GGA-PBE, the Alexandria database). Values from VASP.

Geometry as Quantum ESPRESSO input:
```
&SYSTEM
  ibrav = 0, nat = 10, ntyp = 3
/
ATOMIC_SPECIES
Rb 85.47 Rb.upf
Pb 207.20 Pb.upf
Sr 87.62 Sr.upf
CELL_PARAMETERS angstrom
-2.9005 -8.3221 1.5113
8.4502 -2.9206 0.1354
0.2492 0.9977 5.9721
ATOMIC_POSITIONS crystal
Rb 0.6732 0.8268 0.5000
Rb 0.1732 0.6732 0.5000
Rb 0.3268 0.1732 0.5000
Pb 0.3834 0.8834 0.0000
Pb 0.8834 0.6166 0.0000
Pb 0.6166 0.1166 0.0000
Rb 0.8268 0.3268 0.5000
Sr 0.5000 0.5000 0.0000
Pb 0.1166 0.3834 0.0000
Sr 0.0000 0.0000 0.0000
```

## Properties
* formation energy from the elements: -97 meV/atom
* offset from the most stable computed form: 9 meV per atom
* crystal system: tetragonal



# Al2PtPb

A relaxed Al2PtPb crystal (GGA-PBE, the Alexandria database). Values from VASP.

Geometry as Quantum ESPRESSO input:
```
&SYSTEM
  ibrav = 0, nat = 4, ntyp = 3
/
ATOMIC_SPECIES
Pt 195.08 Pt.upf
Al 26.98 Al.upf
Pb 207.20 Pb.upf
CELL_PARAMETERS angstrom
-4.9581 -1.4846 0.5393
-1.6936 -2.0179 -4.4874
4.2386 -0.9765 2.8562
ATOMIC_POSITIONS crystal
Pt 0.7500 0.2500 0.5000
Al 0.0000 0.0000 0.0000
Pb 0.5000 0.5000 0.0000
Al 0.2500 0.7500 0.5000
```

## Properties
* formation energy from the elements: 34 meV/atom
* crystal system: tetragonal



# Cr2HgS4

A relaxed Cr2HgS4 crystal (GGA-PBE, the Alexandria database). Values from VASP.

Geometry as Quantum ESPRESSO input:
```
&SYSTEM
  ibrav = 0, nat = 7, ntyp = 3
/
ATOMIC_SPECIES
Cr 52.00 Cr.upf
S 32.06 S.upf
Hg 200.59 Hg.upf
CELL_PARAMETERS angstrom
3.5338 0.0000 0.0000
0.0000 6.0170 0.2600
0.0000 1.7784 7.0937
ATOMIC_POSITIONS crystal
Cr 0.5000 0.0000 0.5000
S 0.0000 0.7731 0.6777
S 0.0000 0.2269 0.3223
S 0.5000 0.2710 0.6860
S 0.5000 0.7290 0.3140
Cr 0.0000 0.5000 0.5000
Hg 0.0000 0.5000 0.0000
```

## Properties
* formation energy (no corrections): -0.478 eV per atom
* offset from the most stable computed form: 86 meV per atom
* crystal system: monoclinic



# Ce2Th3Os4

A relaxed Ce2Th3Os4 crystal (GGA-PBE, the Alexandria database). Values from VASP.

Geometry as Quantum ESPRESSO input:
```
&SYSTEM
  ibrav = 0, nat = 18, ntyp = 3
/
ATOMIC_SPECIES
Th 232.04 Th.upf
Os 190.23 Os.upf
Ce 140.12 Ce.upf
CELL_PARAMETERS angstrom
5.6047 0.1754 0.1256
0.6819 9.0366 -0.5018
0.6819 2.4366 8.7163
ATOMIC_POSITIONS crystal
Th 0.7500 0.3736 0.6264
Th 0.0601 0.0089 0.7880
Os 0.0573 0.7375 0.0545
Ce 0.8614 0.4145 0.1878
Os 0.5573 0.0545 0.7375
Ce 0.1386 0.5855 0.8122
Os 0.4427 0.9455 0.2625
Th 0.4399 0.2120 0.9911
Os 0.8674 0.1540 0.4665
Os 0.9427 0.2625 0.9455
Th 0.9399 0.9911 0.2120
Os 0.6326 0.5335 0.8460
Ce 0.6386 0.8122 0.5855
Th 0.5601 0.7880 0.0089
Th 0.2500 0.6264 0.3736
Os 0.1326 0.8460 0.5335
Os 0.3674 0.4665 0.1540
Ce 0.3614 0.1878 0.4145
```

## Properties
* formation energy from the elements: -224 meV/atom
* crystal system: monoclinic